No. 1
Material: Ho3PtAu2
Method: DFT, PBE
State: relaxed

Summary:
E_tot = -32.3 eV for the cell shown
magnetic moment = 0.000 μB per cell
volume = 134 Å³ per cell
DOS at the Fermi energy = 3.490 states/eV/f.u.

abc: 3.5354 3.5354 10.7466
angles: 90.00 90.00 90.00
Atoms (fractional coordinates):
Ho: 0.0000 0.0000 0.0000
Ho: 0.0000 0.0000 0.3417
Ho: 0.0000 0.0000 0.6583
Pt: 0.5000 0.5000 0.5000
Au: 0.5000 0.5000 0.1678
Au: 0.5000 0.5000 0.8322

***

No. 2
Material: CsTi2O3F3
Method: DFT, PBE
State: relaxed

Summary:
E_tot = -129.8 eV for the cell shown
energy relative to the elements, uncorrected = -2681 kJ/mol of formula units
magnetic moment = 0.000 μB per cell
volume = 281 Å³ per cell
DOS at the Fermi energy = 0.000 states/eV/f.u.

abc: 7.4515 7.3915 7.2260
angles: 61.28 60.45 58.26
Atoms (fractional coordinates):
Cs: 0.0000 0.0000 0.0000
Cs: 0.2500 0.2500 0.2500
Ti: 0.1355 0.6253 0.6066
Ti: 0.6066 0.6325 0.1355
Ti: 0.6253 0.1355 0.6325
Ti: 0.6325 0.6066 0.6253
O: 0.3118 0.6882 0.3118
O: 0.3204 0.3204 0.6796
O: 0.5850 0.5850 0.9150
O: 0.6796 0.6796 0.3204
O: 0.6882 0.3118 0.6882
O: 0.9150 0.9150 0.5850
F: 0.3030 0.6970 0.6970
F: 0.5457 0.9543 0.9543
F: 0.5534 0.9466 0.5534
F: 0.6970 0.3030 0.3030
F: 0.9466 0.5534 0.9466
F: 0.9543 0.5457 0.5457

***

No. 3
Material: Hg2SbI2
Method: DFT, PBE
State: relaxed

Summary:
E_tot = -16.0 eV for the cell shown
energy relative to the elements, uncorrected = -19 kJ/mol of formula units
magnetic moment = 0.000 μB per cell
volume = 455 Å³ per cell
DOS at the Fermi energy = 0.837 states/eV/f.u.

abc: 9.2394 9.2394 12.0925
angles: 129.88 129.88 36.69
Atoms (fractional coordinates):
Hg: 0.1241 0.1241 0.4136
Hg: 0.1328 0.1328 0.9187
Hg: 0.8672 0.8672 0.0813
Hg: 0.8759 0.8759 0.5864
Sb: 0.1032 0.1032 0.1122
Sb: 0.8968 0.8968 0.8878
I: 0.2011 0.2011 0.7692
I: 0.3922 0.3922 0.6081
I: 0.6078 0.6078 0.3919
I: 0.7989 0.7989 0.2308

***

No. 4
Material: HfZr2Mn
Method: DFT, PBE
State: relaxed

Summary:
E_tot = -69.5 eV for the cell shown
magnetic moment = 0.906 μB per cell
volume = 163 Å³ per cell
DOS at the Fermi energy = 5.537 states/eV/f.u.

abc: 6.0554 6.0554 6.0554
angles: 103.09 103.09 123.17
Atoms (fractional coordinates):
Hf: 0.0000 0.0000 0.0000
Hf: 0.7500 0.2500 0.5000
Zr: 0.1797 0.6250 0.0547
Zr: 0.3750 0.4297 0.5547
Zr: 0.5703 0.1250 0.9453
Zr: 0.8750 0.8203 0.4453
Mn: 0.2500 0.7500 0.5000
Mn: 0.5000 0.5000 0.0000